[1]
Material: FeSnHgIr
Method: DFT, GGA-PBE
State: optimized geometry

space-group type = No. 216
calculated total energy = -20.138 eV per cell

a b c (Å): 4.598 4.598 4.598
angles (deg): 60.00 60.00 60.00
Fractional coordinates of all 4 atoms:
Fe (0.750, 0.750, 0.750)
Hg (0.500, 0.500, 0.500)
Sn (0.000, 0.000, 0.000)
Ir (0.250, 0.250, 0.250)

[2]
Material: TlFeHgIr
Method: DFT, GGA-PBE
State: optimized geometry

space-group type = No. 216
calculated total energy = -17.447 eV per cell

a b c (Å): 4.647 4.647 4.647
angles (deg): 60.00 60.00 60.00
Fractional coordinates of all 4 atoms:
Tl (0.000, 0.000, 0.000)
Hg (0.500, 0.500, 0.500)
Fe (0.750, 0.750, 0.750)
Ir (0.250, 0.250, 0.250)

[3]
Material: LiFeReHg
Method: DFT, GGA-PBE
State: optimized geometry

space-group type = No. 216
calculated total energy = -21.160 eV per cell

a b c (Å): 4.251 4.251 4.251
angles (deg): 60.00 60.00 60.00
Fractional coordinates of all 4 atoms:
Hg (0.000, 0.000, 0.000)
Re (0.500, 0.500, 0.500)
Li (0.750, 0.750, 0.750)
Fe (0.250, 0.250, 0.250)

[4]
Material: LiFeReHg
Method: DFT, GGA-PBE
State: optimized geometry

space-group type = No. 216
calculated total energy = -19.273 eV per cell

a b c (Å): 4.439 4.439 4.439
angles (deg): 60.00 60.00 60.00
Fractional coordinates of all 4 atoms:
Li (0.750, 0.750, 0.750)
Re (0.500, 0.500, 0.500)
Hg (0.250, 0.250, 0.250)
Fe (0.000, 0.000, 0.000)

[5]
Material: LiFeHgSb
Method: DFT, GGA-PBE
State: optimized geometry

space-group type = No. 216
calculated total energy = -14.359 eV per cell

a b c (Å): 4.637 4.637 4.637
angles (deg): 60.00 60.00 60.00
Fractional coordinates of all 4 atoms:
Fe (0.750, 0.750, 0.750)
Li (0.250, 0.250, 0.250)
Sb (0.000, 0.000, 0.000)
Hg (0.500, 0.500, 0.500)

[6]
Material: LiFeTcHg
Method: DFT, GGA-PBE
State: optimized geometry

space-group type = No. 216
calculated total energy = -18.297 eV per cell

a b c (Å): 4.463 4.463 4.463
angles (deg): 60.00 60.00 60.00
Fractional coordinates of all 4 atoms:
Tc (0.500, 0.500, 0.500)
Fe (0.000, 0.000, 0.000)
Li (0.750, 0.750, 0.750)
Hg (0.250, 0.250, 0.250)

[7]
Material: LiFeTcHg
Method: DFT, GGA-PBE
State: optimized geometry

space-group type = No. 216
calculated total energy = -19.260 eV per cell

a b c (Å): 4.260 4.260 4.260
angles (deg): 60.00 60.00 60.00
Fractional coordinates of all 4 atoms:
Tc (0.500, 0.500, 0.500)
Hg (0.000, 0.000, 0.000)
Fe (0.250, 0.250, 0.250)
Li (0.750, 0.750, 0.750)

[8]
Material: LuFeHg2
Method: DFT, GGA-PBE
State: optimized geometry

space-group type = No. 216
calculated total energy = -12.931 eV per cell

a b c (Å): 4.860 4.860 4.860
angles (deg): 60.00 60.00 60.00
Fractional coordinates of all 4 atoms:
Hg (0.750, 0.750, 0.750)
Fe (0.250, 0.250, 0.250)
Lu (0.500, 0.500, 0.500)
Hg (0.000, 0.000, 0.000)

[9]
Material: LuFeHgPb
Method: DFT, GGA-PBE
State: optimized geometry

space-group type = No. 216
calculated total energy = -16.085 eV per cell

a b c (Å): 5.005 5.005 5.005
angles (deg): 60.00 60.00 60.00
Fractional coordinates of all 4 atoms:
Pb (0.000, 0.000, 0.000)
Lu (0.500, 0.500, 0.500)
Fe (0.750, 0.750, 0.750)
Hg (0.250, 0.250, 0.250)

[10]
Material: LuFeHgPb
Method: DFT, GGA-PBE
State: optimized geometry

space-group type = No. 216
calculated total energy = -16.448 eV per cell

a b c (Å): 4.977 4.977 4.977
angles (deg): 60.00 60.00 60.00
Fractional coordinates of all 4 atoms:
Fe (0.750, 0.750, 0.750)
Hg (0.500, 0.500, 0.500)
Lu (0.250, 0.250, 0.250)
Pb (0.000, 0.000, 0.000)

[11]
Material: LuFeSnHg
Method: DFT, GGA-PBE
State: optimized geometry

space-group type = No. 216
calculated total energy = -16.946 eV per cell

a b c (Å): 4.893 4.893 4.893
angles (deg): 60.00 60.00 60.00
Fractional coordinates of all 4 atoms:
Lu (0.500, 0.500, 0.500)
Fe (0.750, 0.750, 0.750)
Sn (0.000, 0.000, 0.000)
Hg (0.250, 0.250, 0.250)

[12]
Material: LuFeSnHg
Method: DFT, GGA-PBE
State: optimized geometry

space-group type = No. 216
calculated total energy = -17.223 eV per cell

a b c (Å): 4.910 4.910 4.910
angles (deg): 60.00 60.00 60.00
Fractional coordinates of all 4 atoms:
Sn (0.000, 0.000, 0.000)
Hg (0.500, 0.500, 0.500)
Fe (0.750, 0.750, 0.750)
Lu (0.250, 0.250, 0.250)

[13]
Material: LuTlFeHg
Method: DFT, GGA-PBE
State: optimized geometry

space-group type = No. 216
calculated total energy = -15.080 eV per cell

a b c (Å): 4.919 4.919 4.919
angles (deg): 60.00 60.00 60.00
Fractional coordinates of all 4 atoms:
Lu (0.250, 0.250, 0.250)
Fe (0.750, 0.750, 0.750)
Hg (0.500, 0.500, 0.500)
Tl (0.000, 0.000, 0.000)

[14]
Material: LuTlFeHg
Method: DFT, GGA-PBE
State: optimized geometry

space-group type = No. 216
calculated total energy = -14.697 eV per cell

a b c (Å): 4.944 4.944 4.944
angles (deg): 60.00 60.00 60.00
Fractional coordinates of all 4 atoms:
Lu (0.500, 0.500, 0.500)
Tl (0.000, 0.000, 0.000)
Hg (0.250, 0.250, 0.250)
Fe (0.750, 0.750, 0.750)

[15]
Material: MgFeHgSb
Method: DFT, GGA-PBE
State: optimized geometry

space-group type = No. 216
calculated total energy = -13.320 eV per cell

a b c (Å): 4.850 4.850 4.850
angles (deg): 60.00 60.00 60.00
Fractional coordinates of all 4 atoms:
Sb (0.000, 0.000, 0.000)
Fe (0.750, 0.750, 0.750)
Hg (0.500, 0.500, 0.500)
Mg (0.250, 0.250, 0.250)

[16]
Material: MgFeSiHg
Method: DFT, GGA-PBE
State: optimized geometry

space-group type = No. 216
calculated total energy = -14.339 eV per cell

a b c (Å): 4.526 4.526 4.526
angles (deg): 60.00 60.00 60.00
Fractional coordinates of all 4 atoms:
Fe (0.750, 0.750, 0.750)
Si (0.000, 0.000, 0.000)
Mg (0.250, 0.250, 0.250)
Hg (0.500, 0.500, 0.500)

[17]
Material: MgFeHgTe3
Method: DFT, GGA-PBE
State: optimized geometry

space-group type = No. 63
calculated total energy = -40.444 eV per cell

a b c (Å): 4.040 6.623 13.200
angles (deg): 90.00 90.00 72.24
Each line ends with the local moment (μB).
Fractional coordinates of all 12 atoms:
Hg (0.000, 0.000, 0.500)  -0.01
Te (0.083, 0.834, 0.750)  0.07
Hg (0.000, 0.000, 0.000)  -0.01
Fe (0.545, 0.909, 0.250)  2.88
Te (0.917, 0.166, 0.250)  0.07
Te (0.658, 0.684, 0.410)  0.09
Te (0.342, 0.316, 0.910)  0.09
Mg (0.220, 0.561, 0.250)  0.01
Mg (0.780, 0.439, 0.750)  0.01
Te (0.658, 0.684, 0.090)  0.09
Te (0.342, 0.316, 0.590)  0.08
Fe (0.455, 0.091, 0.750)  2.88

[18]
Material: MgFeHgTe3
Method: DFT, GGA-PBE
State: optimized geometry

space-group type = No. 63
calculated total energy = -40.923 eV per cell

a b c (Å): 7.636 7.636 11.561
angles (deg): 90.00 90.00 28.03
Each line ends with the local moment (μB).
Fractional coordinates of all 12 atoms:
Fe (0.000, 0.000, 0.000)  2.39
Te (0.375, 0.375, 0.505)  -0.02
Te (0.030, 0.030, 0.750)  -0.03
Te (0.625, 0.625, 0.495)  -0.02
Mg (0.379, 0.379, 0.750)  0.01
Fe (0.000, 0.000, 0.500)  2.37
Te (0.970, 0.970, 0.250)  -0.03
Hg (0.725, 0.725, 0.750)  0.01
Te (0.625, 0.625, 0.005)  -0.02
Mg (0.621, 0.621, 0.250)  0.01
Te (0.375, 0.375, 0.995)  -0.02
Hg (0.275, 0.275, 0.250)  0.01

[19]
Material: FeHgMoPb
Method: DFT, GGA-PBE
State: optimized geometry

space-group type = No. 216
calculated total energy = -19.920 eV per cell

a b c (Å): 4.699 4.699 4.699
angles (deg): 60.00 60.00 60.00
Fractional coordinates of all 4 atoms:
Fe (0.750, 0.750, 0.750)
Mo (0.250, 0.250, 0.250)
Hg (0.500, 0.500, 0.500)
Pb (0.000, 0.000, 0.000)

[20]
Material: FeHgSbMo
Method: DFT, GGA-PBE
State: optimized geometry

space-group type = No. 216
calculated total energy = -21.294 eV per cell

a b c (Å): 4.623 4.623 4.623
angles (deg): 60.00 60.00 60.00
Fractional coordinates of all 4 atoms:
Mo (0.250, 0.250, 0.250)
Sb (0.000, 0.000, 0.000)
Fe (0.750, 0.750, 0.750)
Hg (0.500, 0.500, 0.500)

[21]
Material: FeSnHgMo
Method: DFT, GGA-PBE
State: optimized geometry

space-group type = No. 216
calculated total energy = -21.166 eV per cell

a b c (Å): 4.623 4.623 4.623
angles (deg): 60.00 60.00 60.00
Fractional coordinates of all 4 atoms:
Sn (0.000, 0.000, 0.000)
Mo (0.250, 0.250, 0.250)
Fe (0.750, 0.750, 0.750)
Hg (0.500, 0.500, 0.500)

[22]
Material: ZnFeHgMo
Method: DFT, GGA-PBE
State: optimized geometry

space-group type = No. 216
calculated total energy = -18.304 eV per cell

a b c (Å): 4.486 4.486 4.486
angles (deg): 60.00 60.00 60.00
Fractional coordinates of all 4 atoms:
Fe (0.750, 0.750, 0.750)
Hg (0.500, 0.500, 0.500)
Zn (0.000, 0.000, 0.000)
Mo (0.250, 0.250, 0.250)

[23]
Material: ZnFeHgMo
Method: DFT, GGA-PBE
State: optimized geometry

space-group type = No. 216
calculated total energy = -18.602 eV per cell

a b c (Å): 4.475 4.475 4.475
angles (deg): 60.00 60.00 60.00
Fractional coordinates of all 4 atoms:
Fe (0.750, 0.750, 0.750)
Zn (0.000, 0.000, 0.000)
Hg (0.250, 0.250, 0.250)
Mo (0.500, 0.500, 0.500)

[24]
Material: NaFeReHg
Method: DFT, GGA-PBE
State: optimized geometry

space-group type = No. 216
calculated total energy = -18.546 eV per cell

a b c (Å): 4.414 4.414 4.414
angles (deg): 60.00 60.00 60.00
Fractional coordinates of all 4 atoms:
Fe (0.250, 0.250, 0.250)
Na (0.750, 0.750, 0.750)
Re (0.500, 0.500, 0.500)
Hg (0.000, 0.000, 0.000)

[25]
Material: NaFeReHg
Method: DFT, GGA-PBE
State: optimized geometry

space-group type = No. 216
calculated total energy = -18.569 eV per cell

a b c (Å): 4.547 4.547 4.547
angles (deg): 60.00 60.00 60.00
Fractional coordinates of all 4 atoms:
Na (0.750, 0.750, 0.750)
Re (0.250, 0.250, 0.250)
Hg (0.000, 0.000, 0.000)
Fe (0.500, 0.500, 0.500)

[26]
Material: NaFeHgS3
Method: DFT, GGA-PBE
State: optimized geometry

space-group type = No. 11
calculated total energy = -49.333 eV per cell

a b c (Å): 7.691 3.709 9.978
angles (deg): 90.00 95.59 90.00
Each line ends with the local moment (μB).
Fractional coordinates of all 12 atoms:
S (0.115, 0.750, 0.361)  -0.01
Fe (0.582, 0.750, 0.073)  0.39
S (0.637, 0.750, 0.283)  0.03
S (0.313, 0.750, 0.000)  -0.01
Na (0.341, 0.250, 0.273)  0.00
S (0.885, 0.250, 0.639)  -0.01
Hg (0.878, 0.250, 0.366)  0.00
S (0.687, 0.250, 0.000)  -0.01
Na (0.659, 0.750, 0.727)  0.00
Fe (0.418, 0.250, 0.927)  0.39
S (0.363, 0.250, 0.717)  0.03
Hg (0.122, 0.750, 0.634)  0.00

[27]
Material: NaFeHgSe3
Method: DFT, GGA-PBE
State: optimized geometry

space-group type = No. 11
calculated total energy = -44.780 eV per cell

a b c (Å): 8.108 3.856 9.900
angles (deg): 90.00 96.55 90.00
Each line ends with the local moment (μB).
Fractional coordinates of all 12 atoms:
Na (0.296, 0.250, 0.246)  0.00
Fe (0.439, 0.250, 0.916)  1.00
Hg (0.166, 0.750, 0.599)  0.01
Na (0.704, 0.750, 0.754)  0.00
Se (0.412, 0.250, 0.687)  0.03
Hg (0.834, 0.250, 0.401)  0.01
Se (0.938, 0.250, 0.670)  -0.02
Se (0.698, 0.250, 0.028)  -0.04
Se (0.588, 0.750, 0.313)  0.03
Fe (0.561, 0.750, 0.084)  1.00
Se (0.062, 0.750, 0.330)  -0.02
Se (0.302, 0.750, 0.972)  -0.04

[28]
Material: NaFeHgTe3
Method: DFT, GGA-PBE
State: optimized geometry

space-group type = No. 11
calculated total energy = -40.495 eV per cell

a b c (Å): 8.853 4.325 9.588
angles (deg): 90.00 115.79 90.00
Each line ends with the local moment (μB).
Fractional coordinates of all 12 atoms:
Fe (0.829, 0.250, 0.320)  1.97
Te (0.150, 0.250, 0.515)  -0.10
Hg (0.293, 0.250, 0.899)  -0.01
Te (0.496, 0.750, 0.776)  0.00
Hg (0.707, 0.750, 0.101)  -0.01
Te (0.850, 0.750, 0.485)  -0.10
Te (0.026, 0.750, 0.862)  0.02
Te (0.504, 0.250, 0.224)  0.00
Fe (0.171, 0.750, 0.680)  1.97
Te (0.974, 0.250, 0.138)  0.02
Na (0.724, 0.250, 0.721)  0.00
Na (0.276, 0.750, 0.279)  0.00

Number 1: theoretical density 13.70 Mg/m³. Number 2: theoretical density 15.28 Mg/m³. Number 3: theoretical density 13.74 Mg/m³. Number 4: theoretical density 12.07 Mg/m³. Number 5: theoretical density 9.07 Mg/m³. Number 6: theoretical density 9.55 Mg/m³. Number 7: theoretical density 10.98 Mg/m³. Number 8: theoretical density 12.93 Mg/m³. Number 9: theoretical density 11.96 Mg/m³. Number 10: theoretical density 12.16 Mg/m³. Number 11: theoretical density 11.03 Mg/m³. Number 12: theoretical density 10.92 Mg/m³. Number 13: theoretical density 12.54 Mg/m³. Number 14: theoretical density 12.36 Mg/m³. Number 15: theoretical density 8.29 Mg/m³. Number 16: theoretical density 7.82 Mg/m³. Number 17: theoretical density 6.55 Mg/m³. Number 18: theoretical density 6.96 Mg/m³. Number 19: theoretical density 12.67 Mg/m³. Number 20: theoretical density 11.27 Mg/m³. Number 21: theoretical density 11.20 Mg/m³. Number 22: theoretical density 10.87 Mg/m³. Number 23: theoretical density 10.95 Mg/m³. Number 24: theoretical density 12.72 Mg/m³. Number 25: theoretical density 11.63 Mg/m³. Number 26: theoretical density 4.40 Mg/m³. Number 27: theoretical density 5.58 Mg/m³. Number 28: theoretical density 6.65 Mg/m³.